1.
Density functional theory data (PBE-GGA) for a relaxed La2YAl crystal.

Properties
SG   Pmmm, No. 47
VASP energy   -5.15 eV/atom

Cell and atoms, written as POSCAR:
```
La2YAl
1.0
3.707 0.000 0.000
0.000 4.581 0.000
0.000 0.000 7.179
Y Al La
1 1 2
Cartesian
1.853 2.291 1.795
1.853 2.291 5.384
0.000 0.000 6.966
0.000 0.000 3.802
```

2.
Density functional theory data (PBE-GGA) for a relaxed Mg5Ni4Rh crystal.

Properties
SG   P4/mmm, No. 123
VASP energy   -4.07 eV/atom

Cell and atoms, written as POSCAR:
```
Mg5Ni4Rh
1.0
-1.309 2.784 0.417
0.301 -0.318 3.073
13.441 6.420 -0.654
Mg Ni Rh
5 4 1
Cartesian
0.865 1.887 1.678
3.560 3.174 1.547
6.216 4.443 1.418
8.873 5.711 1.289
11.568 6.999 1.158
2.752 1.315 -0.134
5.391 2.575 -0.262
8.049 3.845 -0.392
10.688 5.105 -0.520
0.000 0.000 0.000
```

3.
Density functional theory data (PBE-GGA) for a relaxed MnHgB2 crystal.

Properties
SG   I-42d, No. 122
VASP energy   -4.65 eV/atom

Cell and atoms, written as POSCAR:
```
MnHgB2
1.0
5.014 0.000 0.000
0.000 5.014 0.000
2.507 2.507 4.660
B Mn Hg
4 2 2
Cartesian
3.378 1.254 1.165
1.636 3.761 1.165
3.761 4.143 3.495
6.268 5.886 3.495
2.507 2.507 0.000
2.507 5.014 2.330
0.000 0.000 0.000
5.014 2.507 2.330
```

4.
Density functional theory data (PBE-GGA) for a relaxed ZnTeSN2 crystal.

Properties
SG   P4/mmm, No. 123
Polymorph energy (0 for the lowest one)   246 meV/atom
Formation energy (no corrections)   1487 meV per atom

Cell and atoms, written as POSCAR:
```
ZnTeSN2
1.0
-0.082 2.471 3.163
-3.953 -0.601 0.367
0.873 -3.878 3.053
Zn Te S N
1 1 1 2
Cartesian
0.000 0.000 0.000
-1.581 -1.004 3.291
0.437 -1.939 1.526
-1.976 -0.301 0.183
-0.041 1.236 1.582
```

These records have magnetization values of 0.000; 0.000; 0.372; 2.502 μB per formula unit, in the order they appear.